HoBi3O6 PBE-GGA relaxed; formation energy (no corrections) = -1782 meV per atom; volume = 17.14 A^3/atom; calculated density = 8.6 g/cm³; energy relative to the lowest polymorph listed for this composition = 0 meV/atom
1.0
-5.6232 0.4946 4.1587
-3.7745 -1.9873 -5.5645
1.3736 -6.5949 1.9445
O Ho Bi
12 2 6
direct
0.6029 0.8097 0.4735
0.5265 0.3971 0.1903
0.0632 0.9320 0.6906
0.4735 0.6029 0.8097
0.9368 0.0680 0.3094
0.3971 0.1903 0.5265
0.3094 0.9368 0.0680
0.1903 0.5265 0.3971
0.0680 0.3094 0.9368
0.8097 0.4735 0.6029
0.9320 0.6906 0.0632
0.6906 0.0632 0.9320
0.5000 0.5000 0.5000
0.0000 0.0000 0.0000
0.9260 0.7512 0.4471
0.7512 0.4471 0.9260
0.2488 0.5529 0.0740
0.4471 0.9260 0.7512
0.0740 0.2488 0.5529
0.5529 0.0740 0.2488

***

MgZnS2 PBE-GGA relaxed; formation energy (no corrections) = -1030 meV per atom; volume = 19.77 A^3/atom; calculated density = 3.2 g/cm³
1.0
0.1083 3.7617 0.6290
-2.9965 -2.0461 1.1800
2.8487 -1.0013 5.4978
S Mg Zn
2 1 1
direct
0.6667 0.3333 0.2700
0.3333 0.6667 0.7932
0.0000 0.0000 0.9616
0.3333 0.6667 0.4301

***

Na2MnCr2S6 PBE-GGA relaxed; formation energy (no corrections) = -845 meV per atom; volume = 19.34 A^3/atom; calculated density = 3.1 g/cm³
1.0
-3.8355 3.5752 3.0572
-1.8541 -5.4220 -2.0010
3.8607 -2.1712 5.3744
S Cr Mn Na
6 2 1 2
direct
0.6067 0.9358 0.3069
0.7362 0.7362 0.6934
0.0642 0.3933 0.6931
0.2638 0.2638 0.3066
0.3933 0.0642 0.6931
0.9358 0.6067 0.3069
0.3327 0.6673 0.5000
0.6673 0.3327 0.5000
0.0000 0.0000 0.5000
0.8339 0.1661 0.0000
0.1661 0.8339 0.0000

***

Ga2PbCl2 PBE-GGA relaxed; formation energy (no corrections) = -334 meV per atom; volume = 26.91 A^3/atom; calculated density = 5.2 g/cm³; energy relative to the lowest polymorph listed for this composition = 60 meV/atom
1.0
8.3410 0.0000 0.0000
0.0000 8.3410 0.0000
0.0000 0.0000 3.8674
Ga Cl Pb
4 4 2
direct
0.1818 0.6818 0.5000
0.6818 0.8182 0.5000
0.8182 0.3182 0.5000
0.3182 0.1818 0.5000
0.1467 0.3533 0.0000
0.8533 0.6467 0.0000
0.3533 0.8533 0.0000
0.6467 0.1467 0.0000
0.5000 0.5000 0.0000
0.0000 0.0000 0.0000

***

TlCd4Hg6 PBE-GGA relaxed; volume = 29.43 A^3/atom; ΔH_f (0 K) = 0.06 eV/atom; calculated density = 9.5 g/cm³
1.0
-4.7000 4.2295 4.5778
2.8933 -3.5977 6.2945
4.6598 3.4176 -5.0288
Cd Hg Tl
4 6 1
direct
0.8829 0.8829 0.1342
0.1171 0.7487 0.8658
0.2513 0.2513 0.1342
0.7487 0.1171 0.8658
0.9355 0.9355 0.5601
0.0000 0.5000 0.0000
0.6246 0.6246 0.5601
0.0645 0.3754 0.4399
0.5000 0.0000 0.0000
0.3754 0.0645 0.4399
0.5000 0.5000 0.0000

***

Ho3Co5S12 PBE-GGA relaxed; formation energy (no corrections) = -848 meV per atom; volume = 18.50 A^3/atom; calculated density = 5.3 g/cm³
1.0
12.4356 0.0000 0.0000
-4.1452 11.7244 0.0000
-4.1452 -5.8622 10.1536
S Ho Co
48 12 20
direct
0.3234 0.7990 0.4136
0.5864 0.7010 0.6766
0.0244 0.6145 0.7010
0.0864 0.9099 0.3855
0.7990 0.4756 0.3855
0.6766 0.2010 0.5864
0.4756 0.7990 0.8855
0.6145 0.0244 0.2010
0.9099 0.8234 0.5244
0.0901 0.1766 0.4756
0.3855 0.9756 0.7990
0.4099 0.0244 0.3234
0.2990 0.4136 0.8234
0.9099 0.0864 0.8855
0.5901 0.9756 0.6766
0.0244 0.4099 0.8234
0.9756 0.3855 0.2990
0.3234 0.5244 0.4099
0.5244 0.3234 0.9099
0.4136 0.2990 0.3234
0.5864 0.8855 0.4099
0.8855 0.2990 0.4756
0.1145 0.4136 0.0901
0.2990 0.8855 0.9756
0.9756 0.5901 0.1766
0.1766 0.0864 0.7010
0.6145 0.5901 0.9136
0.8855 0.5864 0.9099
0.9136 0.0901 0.6145
0.0901 0.9136 0.1145
0.4756 0.6766 0.0901
0.9136 0.8234 0.7990
0.8234 0.9099 0.0244
0.6766 0.4756 0.5901
0.1145 0.7010 0.5244
0.0864 0.1766 0.2010
0.7010 0.5864 0.1766
0.7010 0.1145 0.0244
0.3855 0.4099 0.0864
0.5901 0.6145 0.4136
0.7990 0.3234 0.9136
0.2010 0.6766 0.0864
0.1766 0.0901 0.9756
0.4136 0.1145 0.5901
0.2010 0.5244 0.6145
0.4099 0.3855 0.5864
0.5244 0.2010 0.1145
0.8234 0.9136 0.2990
0.7500 0.8750 0.6250
0.2500 0.1250 0.3750
0.3750 0.7500 0.6250
0.2500 0.6250 0.8750
0.3750 0.6250 0.2500
0.8750 0.1250 0.2500
0.6250 0.3750 0.7500
0.1250 0.8750 0.7500
0.6250 0.2500 0.3750
0.7500 0.3750 0.1250
0.1250 0.2500 0.8750
0.8750 0.7500 0.1250
0.0000 0.0000 0.0000
0.5000 0.0000 0.0000
0.6250 0.7500 0.8750
0.7500 0.6250 0.3750
0.5000 0.5000 0.0000
0.1250 0.7500 0.3750
0.0000 0.5000 0.5000
0.2500 0.3750 0.6250
0.8750 0.6250 0.7500
0.5000 0.5000 0.5000
0.3750 0.2500 0.1250
0.8750 0.2500 0.6250
0.7500 0.1250 0.8750
0.6250 0.8750 0.2500
0.3750 0.1250 0.7500
0.0000 0.0000 0.5000
0.2500 0.8750 0.1250
0.5000 0.0000 0.5000
0.0000 0.5000 0.0000
0.1250 0.3750 0.2500

***

Pu3GeH PBE-GGA relaxed; volume = 18.75 A^3/atom; calculated density = 14.3 g/cm³; energy relative to the lowest polymorph listed for this composition = 34 meV/atom
1.0
-1.3215 1.8116 -2.3855
4.1280 -2.5578 -4.2293
-2.9027 -3.2557 -0.8642
Pu H Ge
3 1 1
direct
0.8910 0.6450 0.3212
0.3908 0.3733 0.8210
0.3908 0.9167 0.8210
0.8903 0.6450 0.8212
0.8909 0.1450 0.3210

***

PrTh2In3 PBE-GGA relaxed; volume = 28.84 A^3/atom; ΔH_f (0 K) = -0.35 eV/atom; calculated density = 9.1 g/cm³
1.0
-1.3743 0.7875 -3.1708
2.9684 -1.1360 -1.5687
-5.3044 -12.6849 -0.8513
In Th Pr
3 2 1
direct
0.0000 0.0000 0.0000
0.0000 0.0000 0.3332
0.0000 0.0000 0.6668
0.5000 0.5000 0.8333
0.5000 0.5000 0.1667
0.5000 0.5000 0.5000

***

Sm5InSb4 PBE-GGA relaxed; formation energy (no corrections) = -957 meV per atom; volume = 31.60 A^3/atom; calculated density = 7.1 g/cm³
1.0
-4.7578 -0.0060 4.1407
-5.9971 -4.4382 -2.0936
0.5368 -5.5194 5.4125
Sb Sm In
4 5 1
direct
0.2019 0.1980 0.3999
0.6018 0.6001 0.1980
0.7998 0.8020 0.6001
0.3999 0.3999 0.8020
0.5016 0.0000 0.0000
0.6925 0.2042 0.4125
0.1050 0.5875 0.2042
0.3092 0.7958 0.5875
0.8967 0.4125 0.7958
0.0017 0.0000 0.0000

***

Nd3Ru PBE-GGA relaxed; volume = 31.00 A^3/atom; ΔH_f (0 K) = 0.14 eV/atom; calculated density = 7.1 g/cm³
1.0
3.7350 0.0000 0.0000
0.0000 3.4617 0.0000
0.0000 0.0000 9.5909
Ru Nd
1 3
direct
0.0000 0.0000 0.9731
0.0000 0.5000 0.4682
0.5000 0.5000 0.1275
0.5000 0.0000 0.7646

***

HfZn2BH PBE-GGA relaxed; volume = 26.80 A^3/atom; calculated density = 4.0 g/cm³; DFT total energy = -0.214 Ry per atom
1.0
-5.2118 -0.9992 1.7008
1.4849 -2.8607 2.8696
0.4630 4.0509 3.7987
Hf B Zn H
1 1 2 1
direct
0.0000 0.0000 0.0000
0.0000 0.5000 0.0000
0.5000 0.0000 0.0000
0.0000 0.0000 0.5000
0.5000 0.5000 0.5000

***

SrTe2Au2 PBE-GGA relaxed; formation energy (no corrections) = -463 meV per atom; volume = 28.15 A^3/atom; calculated density = 8.7 g/cm³
1.0
4.7894 0.0000 0.0000
0.0000 4.7894 0.0000
2.3947 2.3947 6.1350
Au Te Sr
2 2 1
direct
0.3926 0.3926 0.2148
0.6074 0.6074 0.7852
0.7500 0.2500 0.5000
0.2500 0.7500 0.5000
0.0000 0.0000 0.0000

***

RbHg2BiAu PBE-GGA relaxed; volume = 40.32 A^3/atom; ΔH_f (0 K) = -0.05 eV/atom; calculated density = 7.4 g/cm³
1.0
6.0318 0.0000 0.0000
0.0000 6.0318 0.0000
0.0000 0.0000 5.5411
Bi Au Hg Rb
1 1 2 1
direct
0.0000 0.0000 0.0000
0.0000 0.0000 0.5000
0.0000 0.5000 0.0000
0.5000 0.0000 0.0000
0.5000 0.5000 0.5000

***

Li2MnAgCl8 PBE-GGA relaxed; formation energy (no corrections) = -999 meV per atom; volume = 24.32 A^3/atom; calculated density = 2.6 g/cm³
1.0
6.3124 -0.7495 -0.3915
-0.7154 6.1483 0.4087
-0.4644 0.5306 7.6830
Li Cl Ag Mn
2 8 1 1
direct
0.4368 0.5639 0.2372
0.5632 0.4361 0.7628
0.3216 0.3016 0.5014
0.6784 0.6984 0.4986
0.3174 0.2750 0.0104
0.1331 0.8374 0.8049
0.8477 0.2135 0.7768
0.6826 0.7250 0.9896
0.8669 0.1626 0.1951
0.1523 0.7865 0.2232
0.0000 0.0000 0.5000
0.0000 0.0000 0.0000

***

LiSi2 PBE-GGA relaxed; formation energy (no corrections) = 60 meV per atom; volume = 18.61 A^3/atom; calculated density = 1.9 g/cm³; energy relative to the lowest polymorph listed for this composition = 100 meV/atom
1.0
3.8025 0.0000 0.0000
-1.9012 3.2931 0.0000
0.0000 0.0000 4.4595
Li Si
1 2
direct
0.0000 0.0000 0.0000
0.6667 0.3333 0.5895
0.3333 0.6667 0.4105

***

Be2NiCl PBE-GGA relaxed; formation energy (no corrections) = 76 meV per atom; volume = 12.07 A^3/atom; calculated density = 3.9 g/cm³; energy relative to the lowest polymorph listed for this composition = 208 meV/atom
1.0
-0.4846 -0.6554 -2.7533
2.0501 -2.0061 0.1167
-3.9775 -3.9691 1.6450
Be Cl Ni
2 1 1
direct
0.0000 0.0000 0.9321
0.0000 0.0000 0.5679
0.5000 0.5000 0.2500
0.5000 0.5000 0.7500

***

Ce2NpAg PBE-GGA relaxed; volume = 23.28 A^3/atom; ΔH_f (0 K) = 0.10 eV/atom; calculated density = 11.1 g/cm³; energy relative to the lowest polymorph listed for this composition = 0 meV/atom
1.0
-2.1935 -1.4384 1.7454
2.1568 -4.8264 -1.2669
3.2521 0.3128 4.3447
Ce Ag Np
2 1 1
direct
0.0000 0.5000 0.0000
0.0000 0.0000 0.5000
0.5000 0.0000 0.0000
0.5000 0.5000 0.5000

***

DyScGa PBE-GGA relaxed; volume = 23.99 A^3/atom; ΔH_f (0 K) = -0.33 eV/atom; calculated density = 6.4 g/cm³; energy relative to the lowest polymorph listed for this composition = 126 meV/atom
1.0
3.5844 0.0000 0.0000
0.0000 4.8147 0.0000
0.0000 -2.4074 4.1697
Sc Dy Ga
1 1 1
direct
0.5009 0.6667 0.3333
0.0003 0.0000 0.0000
0.4988 0.3333 0.6667

***

KTl2Cl8 PBE-GGA relaxed; formation energy (no corrections) = -756 meV per atom; volume = 33.88 A^3/atom; calculated density = 3.3 g/cm³; energy relative to the lowest polymorph listed for this composition = 23 meV/atom
1.0
8.8688 0.9233 0.7005
1.6598 7.4328 1.7340
1.6598 3.6713 6.6914
Tl Cl K
2 8 1
direct
0.3302 0.2109 0.2109
0.6698 0.7891 0.7891
0.2553 0.3660 0.8372
0.7447 0.6340 0.1628
0.3856 0.8090 0.8090
0.2553 0.8372 0.3660
0.1436 0.3839 0.3839
0.8564 0.6161 0.6161
0.7447 0.1628 0.6340
0.6145 0.1910 0.1910
0.0000 0.0000 0.0000

***

La2MgN PBE-GGA relaxed; formation energy (no corrections) = -557 meV per atom; volume = 29.97 A^3/atom; calculated density = 4.4 g/cm³; energy relative to the lowest polymorph listed for this composition = 105 meV/atom
1.0
7.3489 0.0000 0.0000
0.0000 7.3489 0.0000
3.6744 3.6744 4.4395
N La Mg
2 4 2
direct
0.5000 0.5000 0.0000
0.2500 0.7500 0.5000
0.8750 0.7588 0.7500
0.3750 0.4912 0.7500
0.2412 0.6250 0.2500
0.5088 0.1250 0.2500
0.7500 0.2500 0.5000
0.0000 0.0000 0.0000

***

LaSm14Tl PBE-GGA relaxed; volume = 33.07 A^3/atom; ΔH_f (0 K) = -0.01 eV/atom; calculated density = 7.7 g/cm³
1.0
-6.1283 0.2360 3.7521
2.0754 -5.7704 3.7530
4.4624 6.0960 6.9051
Sm La Tl
14 1 1
direct
0.6235 0.3765 0.2480
0.6235 0.3765 0.7520
0.8743 0.6247 0.0000
0.3751 0.6249 0.5000
0.1265 0.3765 0.7522
0.1266 0.8734 0.7525
0.8750 0.1250 0.5000
0.6235 0.8735 0.7522
0.8754 0.6252 0.5000
0.1265 0.3765 0.2478
0.1266 0.8734 0.2475
0.6235 0.8735 0.2478
0.3748 0.1246 0.5000
0.3753 0.1257 0.0000
0.8751 0.1249 0.0000
0.3749 0.6251 0.0000